A plane-wave DFT calculation with PBE was carried out for a relaxed Ce5GeOs3 crystal.

Properties
- Calculated density: 9.1 g cm⁻³
- Space-group type: C2/m (12)
- Energy relative to the elements: -0.08 eV/atom

POSCAR file:
```
Ce5GeOs3
1.0
6.192 -4.497 0.000
6.192 4.497 0.000
-3.291 0.000 8.774
Ce Ge Os
10 2 6
direct
0.035 0.035 0.341
0.134 0.515 0.364
0.206 0.794 0.000
0.268 0.268 0.937
0.485 0.866 0.636
0.515 0.134 0.364
0.732 0.732 0.063
0.794 0.206 0.000
0.866 0.485 0.636
0.965 0.965 0.659
0.414 0.414 0.708
0.586 0.586 0.292
0.168 0.168 0.157
0.191 0.191 0.613
0.500 0.500 0.000
0.500 0.500 0.500
0.809 0.809 0.387
0.832 0.832 0.843
```